Record 1
A geometry-optimized PmTlRh2 structure. Source: Alexandria via LeMat-Bulk, functional PBE-GGA. Values from VASP.

Output
Formation enthalpy at 0 K, eV/atom: -0.47
Excess energy over the best structure of this formula in the dataset, meV per atom: 0

```
&SYSTEM
  ibrav = 0, nat = 4, ntyp = 3
/
ATOMIC_SPECIES
Pm 145.00 Pm.upf
Tl 204.38 Tl.upf
Rh 102.91 Rh.upf
ATOMIC_POSITIONS angstrom
Pm 0.000 0.000 0.000
Tl 2.284 2.284 0.000
Rh 0.000 2.284 1.862
Rh 2.284 0.000 1.862
CELL_PARAMETERS angstrom
4.568 0.000 0.000
0.000 4.568 0.000
0.000 0.000 3.724
```

---

Record 2
A geometry-optimized Ag3SbTe4 structure. Source: Alexandria via LeMat-Bulk, functional PBE-GGA. Values from VASP.

Output
Excess energy over the best structure of this formula in the dataset, meV per atom: 0

```
&SYSTEM
  ibrav = 0, nat = 8, ntyp = 3
/
ATOMIC_SPECIES
Ag 107.87 Ag.upf
Sb 121.76 Sb.upf
Te 127.60 Te.upf
ATOMIC_POSITIONS angstrom
Ag 0.000 0.000 0.000
Ag 2.917 2.121 2.174
Ag 2.917 -2.121 2.174
Sb 5.910 0.000 0.000
Te 5.873 2.182 2.174
Te 2.809 0.000 3.987
Te 8.936 0.000 0.360
Te 5.873 -2.182 2.174
CELL_PARAMETERS angstrom
5.910 -4.243 0.000
5.910 4.243 0.000
-0.076 0.000 4.347
```

---

Record 3
A geometry-optimized Ac7Nd3 structure. Source: Alexandria via LeMat-Bulk, functional PBE-GGA. Values from VASP.

Output
Formation enthalpy at 0 K, eV/atom: 0.03

```
&SYSTEM
  ibrav = 0, nat = 10, ntyp = 2
/
ATOMIC_SPECIES
Ac 227.00 Ac.upf
Nd 144.24 Nd.upf
ATOMIC_POSITIONS angstrom
Ac 0.000 0.000 0.000
Ac 3.028 0.000 4.592
Ac 7.590 0.000 1.491
Ac 6.859 0.000 5.319
Ac 11.424 0.000 2.290
Ac 10.692 0.000 6.117
Ac 15.254 0.000 3.016
Nd -0.792 0.000 3.804
Nd 3.846 0.000 0.766
Nd 14.437 0.000 6.843
CELL_PARAMETERS angstrom
9.933 -2.773 0.000
9.933 2.773 0.000
-1.584 0.000 7.608
```

---

Record 4
A geometry-optimized Nd2SmY4Er2 structure. Source: Alexandria via LeMat-Bulk, functional PBE-GGA. Values from VASP.

Output
Formation enthalpy at 0 K, eV/atom: 0.08

```
&SYSTEM
  ibrav = 0, nat = 9, ntyp = 4
/
ATOMIC_SPECIES
Nd 144.24 Nd.upf
Sm 150.36 Sm.upf
Y 88.91 Y.upf
Er 167.26 Er.upf
ATOMIC_POSITIONS angstrom
Nd 3.294 2.021 2.822
Nd 8.440 4.238 5.361
Sm 3.009 0.000 0.000
Y 3.266 0.966 6.212
Y 5.646 3.689 7.234
Y 6.088 2.570 0.950
Y 8.468 5.293 1.971
Er 5.384 4.730 3.658
Er 6.350 1.529 4.526
CELL_PARAMETERS angstrom
6.019 0.000 0.000
2.816 6.026 0.000
2.900 0.233 8.184
```

---

What did we get for theoretical density? Answer: 11.9, 7.3, 8.0, 6.3 g/cm3, in the order shown.